Record 1
Below is an optimized crystal structure of TlCuTe2, with properties calculated at the PBE-GGA level.

Properties
- Magnetization: 0.0 μB per formula unit
- Formation energy (no corrections): -0.103 eV per atom
- Uncorrected energy: -0.1209 Ha/atom

abc: 4.1380 6.1469 9.4622
angles: 79.30 77.41 89.99
Space group P1 (No. 1)
One atom of each set of equivalent atoms:
Tl (0.0000, 0.0000, 0.0000) (multiplicity 1)
Tl (0.1633, 0.7135, 0.6726) (multiplicity 1)
Cu (0.2726, 0.2210, 0.4498) (multiplicity 1)
Cu (0.7915, 0.5387, 0.4133) (multiplicity 1)
Te (0.3806, 0.5826, 0.2349) (multiplicity 1)
Te (0.5285, 0.4259, 0.9424) (multiplicity 1)
Te (0.6726, 0.2331, 0.6532) (multiplicity 1)
Te (0.8138, 0.9799, 0.3680) (multiplicity 1)

Record 2
Below is an optimized crystal structure of Ac2ScPaPt6, with properties calculated at the PBE-GGA level.

Properties
- Energy of formation from the pure elements: -655.4 meV per atom
- Magnetization: 0.0 μB per formula unit
- Uncorrected energy: -0.2456 Ha/atom

abc: 10.1416 10.1416 10.1416
angles: 90.00 90.00 90.00
Space group Fm-3m (No. 225)
One atom of each set of equivalent atoms:
Ac (0.2500, 0.2500, 0.2500) (multiplicity 8)
Sc (0.0000, 0.0000, 0.0000) (multiplicity 4)
Pa (0.0000, 0.0000, 0.5000) (multiplicity 4)
Pt (0.0000, 0.0000, 0.2466) (multiplicity 24)

Record 3
Below is an optimized crystal structure of Mg3Tl2In4, with properties calculated at the PBE-GGA level.

Properties
- Energy of formation from the pure elements: -24.3 meV per atom
- Magnetization: 0.0 μB per formula unit
- Uncorrected energy: -0.0845 Ha/atom

abc: 14.4254 4.5381 7.4717
angles: 90.00 109.75 90.00
Space group C2/m (No. 12)
One atom of each set of equivalent atoms:
Mg (0.0000, 0.0000, 0.0000) (multiplicity 2)
Mg (0.1124, 0.0000, 0.6641) (multiplicity 4)
Tl (0.1624, 0.5000, 0.0038) (multiplicity 4)
In (0.0498, 0.5000, 0.3390) (multiplicity 4)
In (0.2202, 0.0000, 0.3418) (multiplicity 4)